--- P ---
First-principles (GGA-PBE) data for crystalline DyPaCo at its relaxed geometry, as listed in the Alexandria database.

The structure in CIF format:
```
data_DyPaCo
_cell_length_a 6.003
_cell_length_b 6.705
_cell_length_c 6.779
_cell_angle_alpha 90.00
_cell_angle_beta 91.50
_cell_angle_gamma 90.00
_space_group_name_H-M_alt 'P 1'
_space_group_IT_number 1
_space_group_name_Hall 'P 1'
loop_
_atom_site_label
_atom_site_type_symbol
_atom_site_fract_x
_atom_site_fract_y
_atom_site_fract_z
Dy1 Dy 0.120 0.149 0.309
Dy2 Dy 0.120 0.351 0.809
Dy3 Dy 0.880 0.649 0.191
Dy4 Dy 0.880 0.851 0.691
Pa1 Pa 0.379 0.695 0.476
Pa2 Pa 0.379 0.805 0.976
Pa3 Pa 0.621 0.195 0.024
Pa4 Pa 0.621 0.305 0.524
Co1 Co 0.395 0.003 0.672
Co2 Co 0.395 0.497 0.172
Co3 Co 0.605 0.503 0.828
Co4 Co 0.605 0.997 0.328
```

- DOS(E_F) (states/eV per cell) = 15.8

---

--- Q ---
First-principles (GGA-PBE) data for crystalline DyPaCo at its relaxed geometry, as listed in the Alexandria database.

The structure in CIF format:
```
data_DyPaCo
_cell_length_a 4.190
_cell_length_b 4.190
_cell_length_c 4.695
_cell_angle_alpha 90.00
_cell_angle_beta 90.00
_cell_angle_gamma 120.00
_space_group_name_H-M_alt 'P 1'
_space_group_IT_number 1
_space_group_name_Hall 'P 1'
loop_
_atom_site_label
_atom_site_type_symbol
_atom_site_fract_x
_atom_site_fract_y
_atom_site_fract_z
Dy1 Dy 0.000 0.000 0.000
Pa1 Pa 0.667 0.333 0.500
Co1 Co 0.333 0.667 0.500
```

- DOS(E_F) (states/eV per cell) = 4.5

---

Most stable: P

---

--- P ---
First-principles (GGA-PBE) data for crystalline DyPaCo2 at its relaxed geometry, as listed in the Alexandria database.

The structure in CIF format:
```
data_DyPaCo2
_cell_length_a 4.723
_cell_length_b 4.723
_cell_length_c 3.280
_cell_angle_alpha 90.00
_cell_angle_beta 90.00
_cell_angle_gamma 90.00
_space_group_name_H-M_alt 'P 1'
_space_group_IT_number 1
_space_group_name_Hall 'P 1'
loop_
_atom_site_label
_atom_site_type_symbol
_atom_site_fract_x
_atom_site_fract_y
_atom_site_fract_z
Dy1 Dy 0.000 0.000 0.000
Pa1 Pa 0.500 0.500 0.000
Co1 Co 0.000 0.500 0.500
Co2 Co 0.500 0.000 0.500
```

- DOS(E_F) (states/eV per cell) = 4.7

---

--- Q ---
First-principles (GGA-PBE) data for crystalline DyPaCo2 at its relaxed geometry, as listed in the Alexandria database.

The structure in CIF format:
```
data_DyPaCo2
_cell_length_a 3.338
_cell_length_b 3.338
_cell_length_c 6.729
_cell_angle_alpha 90.00
_cell_angle_beta 90.00
_cell_angle_gamma 90.00
_space_group_name_H-M_alt 'P 1'
_space_group_IT_number 1
_space_group_name_Hall 'P 1'
loop_
_atom_site_label
_atom_site_type_symbol
_atom_site_fract_x
_atom_site_fract_y
_atom_site_fract_z
Dy1 Dy 0.000 0.000 0.000
Pa1 Pa 0.000 0.000 0.500
Co1 Co 0.500 0.500 0.299
Co2 Co 0.500 0.500 0.701
```

- DOS(E_F) (states/eV per cell) = 3.4

---

Most stable: Q